No. 1
Density functional theory data (PBE) for a relaxed LiTiMo3 crystal.

Output
energy of formation from the pure elements	1169	meV per atom
total energy	-7.291	eV/atom
Fermi-level density of states	6.0	states/eV/f.u.
symmetry	Pm-3m (221)
energy above the lowest structure with this stoichiometry	0	meV per atom

Unit cell a=4.270 b=4.270 c=4.270 alpha=90.00 beta=90.00 gamma=90.00
Positions (direct):
Li1 0.000 0.000 0.000
Ti1 0.500 0.500 0.500
Mo1 0.000 0.000 0.500
Mo2 0.000 0.500 0.000
Mo3 0.500 0.000 0.000



No. 2
Density functional theory data (PBE) for a relaxed CuIr2Pt crystal.

Output
energy of formation from the pure elements	5	meV per atom
total energy	-6.960	eV/atom
Fermi-level density of states	4.1	states/eV/f.u.
symmetry	R3m (160)
energy above the lowest structure with this stoichiometry	0	meV per atom

Unit cell a=8.950 b=8.950 c=8.950 alpha=17.63 beta=17.63 gamma=17.63
Positions (direct):
Cu1 0.000 0.000 0.000
Ir1 0.496 0.496 0.496
Ir2 0.748 0.748 0.748
Pt1 0.251 0.251 0.251



No. 3
Density functional theory data (PBE) for a relaxed Pr3Sm2Mg3 crystal.

Output
energy of formation from the pure elements	-74	meV per atom
total energy	-3.644	eV/atom
Fermi-level density of states	9.3	states/eV/f.u.
symmetry	Immm (71)

Unit cell a=11.939 b=11.939 c=11.939 alpha=161.28 beta=152.87 gamma=33.17
Positions (direct):
Pr1 0.000 0.000 0.000
Pr2 0.376 0.876 0.500
Pr3 0.624 0.124 0.500
Sm1 0.236 0.236 0.000
Sm2 0.764 0.764 0.000
Mg1 0.118 0.618 0.500
Mg2 0.500 0.500 0.000
Mg3 0.882 0.382 0.500



No. 4
Density functional theory data (PBE) for a relaxed TmCoSi2 crystal.

Output
raw formation energy	-741	meV per atom
total energy	-6.347	eV/atom
Fermi-level density of states	1.8	states/eV/f.u.
symmetry	Immm (71)

Unit cell a=8.875 b=8.875 c=8.875 alpha=153.90 beta=123.88 gamma=62.90
Positions (direct):
Tm1 0.207 0.207 0.000
Tm2 0.241 0.000 0.241
Tm3 0.759 0.000 0.759
Tm4 0.793 0.793 0.000
Co1 0.104 0.354 0.750
Co2 0.397 0.646 0.750
Co3 0.603 0.354 0.250
Co4 0.896 0.646 0.250
Si1 0.077 0.577 0.500
Si2 0.145 0.803 0.342
Si3 0.415 0.415 0.000
Si4 0.461 0.803 0.658
Si5 0.539 0.197 0.342
Si6 0.585 0.585 0.000
Si7 0.855 0.197 0.658
Si8 0.923 0.423 0.500



No. 5
Density functional theory data (PBE) for a relaxed U2Cu2Ni15 crystal.

Output
energy of formation from the pure elements	-125	meV per atom
total energy	-6.308	eV/atom
Fermi-level density of states	24.9	states/eV/f.u.
symmetry	R-3m (166)

Unit cell a=6.235 b=6.235 c=6.235 alpha=82.40 beta=82.40 gamma=82.40
Positions (direct):
U1 0.160 0.160 0.160
U2 0.840 0.840 0.840
Cu1 0.403 0.403 0.403
Cu2 0.597 0.597 0.597
Ni1 0.000 0.500 0.500
Ni2 0.152 0.152 0.658
Ni3 0.152 0.658 0.152
Ni4 0.194 0.500 0.806
Ni5 0.194 0.806 0.500
Ni6 0.342 0.848 0.848
Ni7 0.500 0.000 0.500
Ni8 0.500 0.194 0.806
Ni9 0.500 0.500 0.000
Ni10 0.500 0.806 0.194
Ni11 0.658 0.152 0.152
Ni12 0.806 0.194 0.500
Ni13 0.806 0.500 0.194
Ni14 0.848 0.342 0.848
Ni15 0.848 0.848 0.342



No. 6
Density functional theory data (PBE) for a relaxed Sr2SnBiSb crystal.

Output
raw formation energy	-640	meV per atom
total energy	-3.713	eV/atom
Fermi-level density of states	0.9	states/eV/f.u.
symmetry	P2_1/m (11)

Unit cell a=7.198 b=4.825 c=11.505 alpha=90.00 beta=105.81 gamma=90.00
Positions (direct):
Sr1 0.144 0.250 0.392
Sr2 0.225 0.750 0.966
Sr3 0.775 0.250 0.034
Sr4 0.856 0.750 0.608
Sn1 0.360 0.250 0.777
Sn2 0.640 0.750 0.223
Bi1 0.367 0.750 0.615
Bi2 0.633 0.250 0.385
Sb1 0.038 0.750 0.193
Sb2 0.962 0.250 0.807



No. 7
Density functional theory data (PBE) for a relaxed GePBr2 crystal.

Output
raw formation energy	640	meV per atom
total energy	-2.703	eV/atom
Fermi-level density of states	4.5	states/eV/f.u.
symmetry	Fm-3m (225)
energy above the lowest structure with this stoichiometry	262	meV per atom

Unit cell a=5.016 b=5.016 c=5.016 alpha=60.00 beta=60.00 gamma=60.00
Positions (direct):
Ge1 0.000 0.000 0.000
P1 0.500 0.500 0.500
Br1 0.250 0.250 0.250
Br2 0.750 0.750 0.750



No. 8
Density functional theory data (PBE) for a relaxed ZrZnBr2 crystal.

Output
raw formation energy	-666	meV per atom
total energy	-3.958	eV/atom
Fermi-level density of states	2.4	states/eV/f.u.
symmetry	R-3m (166)
energy above the lowest structure with this stoichiometry	0	meV per atom

Unit cell a=10.881 b=10.881 c=10.881 alpha=18.32 beta=18.32 gamma=18.32
Positions (direct):
Zr1 0.000 0.000 0.000
Zn1 0.500 0.500 0.500
Br1 0.273 0.273 0.273
Br2 0.727 0.727 0.727



No. 9
Density functional theory data (PBE) for a relaxed Cr2CoHRh crystal.

Output
total energy	-7.417	eV/atom
Fermi-level density of states	4.2	states/eV/f.u.
symmetry	P4/mmm (123)
energy above the lowest structure with this stoichiometry	0	meV per atom

Unit cell a=3.681 b=3.681 c=3.661 alpha=90.00 beta=90.00 gamma=90.00
Positions (direct):
Cr1 0.000 0.500 0.000
Cr2 0.500 0.000 0.000
Co1 0.000 0.000 0.500
H1 0.000 0.000 0.000
Rh1 0.500 0.500 0.500



No. 10
Density functional theory data (PBE) for a relaxed PrErSc2As4 crystal.

Output
energy of formation from the pure elements	-1410	meV per atom
total energy	-6.486	eV/atom
Fermi-level density of states	0.9	states/eV/f.u.
symmetry	P2/m (10)

Unit cell a=6.986 b=4.052 c=7.010 alpha=90.00 beta=109.56 gamma=90.00
Positions (direct):
Pr1 0.000 0.000 0.000
Er1 0.000 0.500 0.500
Sc1 0.500 0.000 0.500
Sc2 0.500 0.500 0.000
As1 0.267 0.000 0.749
As2 0.272 0.500 0.264
As3 0.728 0.500 0.736
As4 0.733 0.000 0.251



No. 11
Density functional theory data (PBE) for a relaxed TmU2Ga9 crystal.

Output
energy of formation from the pure elements	-334	meV per atom
total energy	-4.858	eV/atom
Fermi-level density of states	11.1	states/eV/f.u.
symmetry	P4/mmm (123)

Unit cell a=4.249 b=4.249 c=12.778 alpha=90.00 beta=90.00 gamma=90.00
Positions (direct):
Tm1 0.000 0.000 0.000
U1 0.000 0.000 0.332
U2 0.000 0.000 0.668
Ga1 0.000 0.500 0.166
Ga2 0.000 0.500 0.500
Ga3 0.000 0.500 0.834
Ga4 0.500 0.000 0.166
Ga5 0.500 0.000 0.500
Ga6 0.500 0.000 0.834
Ga7 0.500 0.500 0.000
Ga8 0.500 0.500 0.334
Ga9 0.500 0.500 0.666



No. 12
Density functional theory data (PBE) for a relaxed Pr3PRh3 crystal.

Output
energy of formation from the pure elements	-835	meV per atom
total energy	-6.807	eV/atom
Fermi-level density of states	4.7	states/eV/f.u.
symmetry	C2/m (12)

Unit cell a=5.779 b=5.779 c=14.796 alpha=107.53 beta=107.53 gamma=41.52
Positions (direct):
Pr1 0.015 0.015 0.383
Pr2 0.107 0.107 0.924
Pr3 0.239 0.239 0.227
Pr4 0.761 0.761 0.773
Pr5 0.893 0.893 0.076
Pr6 0.985 0.985 0.617
P1 0.263 0.263 0.614
P2 0.737 0.737 0.386
Rh1 0.311 0.311 0.463
Rh2 0.381 0.381 0.924
Rh3 0.461 0.461 0.758
Rh4 0.539 0.539 0.242
Rh5 0.619 0.619 0.076
Rh6 0.689 0.689 0.537



No. 13
Density functional theory data (PBE) for a relaxed KZrH3 crystal.

Output
total energy	-2.954	eV/atom
Fermi-level density of states	2.5	states/eV/f.u.
symmetry	Pm-3m (221)
energy above the lowest structure with this stoichiometry	1039	meV per atom

Unit cell a=4.148 b=4.148 c=4.148 alpha=90.00 beta=90.00 gamma=90.00
Positions (direct):
K1 0.000 0.000 0.000
Zr1 0.500 0.500 0.500
H1 0.000 0.000 0.500
H2 0.000 0.500 0.000
H3 0.500 0.000 0.000



No. 14
Density functional theory data (PBE) for a relaxed Pr3InRh8 crystal.

Output
energy of formation from the pure elements	-524	meV per atom
total energy	-6.848	eV/atom
Fermi-level density of states	12.6	states/eV/f.u.
symmetry	R3m (160)

Unit cell a=9.390 b=9.390 c=9.390 alpha=33.33 beta=33.33 gamma=33.33
Positions (direct):
Pr1 0.000 0.000 0.000
Pr2 0.128 0.128 0.128
Pr3 0.620 0.620 0.620
In1 0.498 0.498 0.498
Rh1 0.061 0.061 0.561
Rh2 0.061 0.561 0.061
Rh3 0.065 0.562 0.562
Rh4 0.312 0.312 0.312
Rh5 0.561 0.061 0.061
Rh6 0.562 0.065 0.562
Rh7 0.562 0.562 0.065
Rh8 0.812 0.812 0.812



No. 15
Density functional theory data (PBE) for a relaxed CeTeO crystal.

Output
raw formation energy	-2334	meV per atom
total energy	-7.011	eV/atom
Fermi-level density of states	2.4	states/eV/f.u.
symmetry	Pnma (62)

Unit cell a=7.307 b=3.944 c=9.767 alpha=90.00 beta=90.00 gamma=90.00
Positions (direct):
Ce1 0.178 0.250 0.077
Ce2 0.322 0.750 0.577
Ce3 0.678 0.250 0.423
Ce4 0.822 0.750 0.923
Te1 0.022 0.750 0.326
Te2 0.478 0.250 0.826
Te3 0.522 0.750 0.174
Te4 0.978 0.250 0.674
O1 0.120 0.750 0.979
O2 0.380 0.250 0.479
O3 0.620 0.750 0.521
O4 0.880 0.250 0.021



No. 16
Density functional theory data (PBE) for a relaxed HfZr2Ti2Ir5 crystal.

Output
energy of formation from the pure elements	-708	meV per atom
total energy	-9.422	eV/atom
Fermi-level density of states	7.5	states/eV/f.u.
symmetry	P4/mbm (127)

Unit cell a=9.437 b=9.437 c=3.848 alpha=90.00 beta=90.00 gamma=90.00
Positions (direct):
Hf1 0.000 0.000 0.000
Hf2 0.500 0.500 0.000
Zr1 0.176 0.324 0.000
Zr2 0.324 0.824 0.000
Zr3 0.676 0.176 0.000
Zr4 0.824 0.676 0.000
Ti1 0.122 0.622 0.000
Ti2 0.378 0.122 0.000
Ti3 0.622 0.878 0.000
Ti4 0.878 0.378 0.000
Ir1 0.000 0.500 0.500
Ir2 0.067 0.793 0.500
Ir3 0.207 0.067 0.500
Ir4 0.293 0.567 0.500
Ir5 0.433 0.293 0.500
Ir6 0.500 0.000 0.500
Ir7 0.567 0.707 0.500
Ir8 0.707 0.433 0.500
Ir9 0.793 0.933 0.500
Ir10 0.933 0.207 0.500



No. 17
Density functional theory data (PBE) for a relaxed ScInFeNi crystal.

Output
energy of formation from the pure elements	-161	meV per atom
total energy	-5.989	eV/atom
Fermi-level density of states	2.5	states/eV/f.u.
symmetry	F-43m (216)

Unit cell a=4.420 b=4.420 c=4.420 alpha=60.00 beta=60.00 gamma=60.00
Positions (direct):
Sc1 0.000 0.000 0.000
In1 0.500 0.500 0.500
Fe1 0.250 0.250 0.250
Ni1 0.750 0.750 0.750



No. 18
Density functional theory data (PBE) for a relaxed KMoC3 crystal.

Output
energy of formation from the pure elements	4377	meV per atom
total energy	-3.543	eV/atom
Fermi-level density of states	7.4	states/eV/f.u.
symmetry	Pm-3m (221)
energy above the lowest structure with this stoichiometry	2841	meV per atom

Unit cell a=3.999 b=3.999 c=3.999 alpha=90.00 beta=90.00 gamma=90.00
Positions (direct):
K1 0.000 0.000 0.000
Mo1 0.500 0.500 0.500
C1 0.000 0.000 0.500
C2 0.000 0.500 0.000
C3 0.500 0.000 0.000



No. 19
Density functional theory data (PBE) for a relaxed TcSbPb2 crystal.

Output
raw formation energy	708	meV per atom
total energy	-4.768	eV/atom
Fermi-level density of states	3.3	states/eV/f.u.
symmetry	C2/m (12)

Unit cell a=6.345 b=6.345 c=3.404 alpha=104.12 beta=104.12 gamma=121.88
Positions (direct):
Tc1 0.000 0.000 0.000
Sb1 0.500 0.500 0.000
Pb1 0.000 0.500 0.500
Pb2 0.500 0.000 0.500



No. 20
Density functional theory data (PBE) for a relaxed Cu3As2O8 crystal.

Output
raw formation energy	-862	meV per atom
total energy	-5.574	eV/atom
Fermi-level density of states	4.1	states/eV/f.u.
symmetry	P2_1/c (14)
energy above the lowest structure with this stoichiometry	5	meV per atom

Unit cell a=5.502 b=11.806 c=5.171 alpha=90.00 beta=111.97 gamma=90.00
Positions (direct):
Cu1 0.000 0.000 0.000
Cu2 0.000 0.500 0.500
Cu3 0.359 0.164 0.754
Cu4 0.359 0.336 0.254
Cu5 0.641 0.664 0.746
Cu6 0.641 0.836 0.246
As1 0.230 0.614 0.105
As2 0.230 0.886 0.605
As3 0.770 0.114 0.395
As4 0.770 0.386 0.895
O1 0.048 0.185 0.413
O2 0.048 0.315 0.913
O3 0.227 0.011 0.791
O4 0.227 0.489 0.291
O5 0.279 0.582 0.801
O6 0.279 0.918 0.301
O7 0.498 0.189 0.172
O8 0.498 0.311 0.672
O9 0.502 0.689 0.328
O10 0.502 0.811 0.828
O11 0.721 0.082 0.699
O12 0.721 0.418 0.199
O13 0.773 0.511 0.709
O14 0.773 0.989 0.209
O15 0.952 0.685 0.087
O16 0.952 0.815 0.587